# PBE Mg2Ga, optimized geometry
data_Mg2Ga
_space_group_name_H-M_alt 'P 1'
_space_group_IT_number 1
_cell_length_a 3.1815
_cell_length_b 3.1815
_cell_length_c 14.2669
_cell_angle_alpha 90.00
_cell_angle_beta 90.00
_cell_angle_gamma 120.00
loop_
_space_group_symop_operation_xyz
'x,y,z'
loop_
_atom_site_label
_atom_site_type_symbol
_atom_site_fract_x
_atom_site_fract_y
_atom_site_fract_z
Mg1 Mg 0.6667 0.3333 0.1814
Mg2 Mg 0.6667 0.3333 0.8186
Mg3 Mg 0.6667 0.3333 0.5000
Mg4 Mg 0.0000 0.0000 0.0000
Ga1 Ga 0.0000 0.0000 0.3401
Ga2 Ga 0.0000 0.0000 0.6599
# Total moment, μB per formula unit: 0.00
# DFT total energy, eV/atom: -2.1447
# Crystal system: hexagonal
# Formation energy from the elements, eV/atom: -0.0727


# PBE La6Te3As2Pb, optimized geometry
data_La6Te3As2Pb
_space_group_name_H-M_alt 'P 1'
_space_group_IT_number 1
_cell_length_a 4.5213
_cell_length_b 9.1179
_cell_length_c 10.1700
_cell_angle_alpha 103.54
_cell_angle_beta 102.84
_cell_angle_gamma 90.00
loop_
_space_group_symop_operation_xyz
'x,y,z'
loop_
_atom_site_label
_atom_site_type_symbol
_atom_site_fract_x
_atom_site_fract_y
_atom_site_fract_z
La1 La 0.9925 0.7487 0.9850
La2 La 0.6672 0.1022 0.3344
La3 La 0.3272 0.4305 0.6544
La4 La 0.3328 0.8978 0.6656
La5 La 0.0075 0.2513 0.0150
La6 La 0.6728 0.5695 0.3456
Te1 Te 0.8355 0.1680 0.6710
Te2 Te 0.1645 0.8320 0.3290
Te3 Te 0.5000 0.5000 0.0000
Pb1 Pb 0.5000 0.0000 0.0000
As1 As 0.8313 0.6638 0.6626
As2 As 0.1687 0.3362 0.3374
# Total moment, μB per formula unit: 0.00
# DFT total energy, eV/atom: -5.7950
# Crystal system: monoclinic
# Formation energy without anion corrections, kcal/mol of atoms: -33.71


# PBE LiTh4In5, optimized geometry
data_LiTh4In5
_space_group_name_H-M_alt 'P 1'
_space_group_IT_number 1
_cell_length_a 3.5202
_cell_length_b 3.5202
_cell_length_c 21.6573
_cell_angle_alpha 90.00
_cell_angle_beta 90.00
_cell_angle_gamma 90.00
loop_
_space_group_symop_operation_xyz
'x,y,z'
loop_
_atom_site_label
_atom_site_type_symbol
_atom_site_fract_x
_atom_site_fract_y
_atom_site_fract_z
Li1 Li 0.0000 0.0000 0.0000
Th1 Th 0.0000 0.0000 0.1790
Th2 Th 0.0000 0.0000 0.6071
Th3 Th 0.0000 0.0000 0.3929
Th4 Th 0.0000 0.0000 0.8210
In1 In 0.5000 0.5000 0.5000
In2 In 0.5000 0.5000 0.7143
In3 In 0.5000 0.5000 0.0720
In4 In 0.5000 0.5000 0.9280
In5 In 0.5000 0.5000 0.2857
# Total moment, μB per formula unit: 0.00
# DFT total energy, eV/atom: -4.8179
# Crystal system: tetragonal
# Formation energy from the elements, eV/atom: -0.2893


# PBE Hf2NiAuN, optimized geometry
data_Hf2NiAuN
_space_group_name_H-M_alt 'P 1'
_space_group_IT_number 1
_cell_length_a 4.4163
_cell_length_b 4.4163
_cell_length_c 3.8710
_cell_angle_alpha 90.00
_cell_angle_beta 90.00
_cell_angle_gamma 90.00
loop_
_space_group_symop_operation_xyz
'x,y,z'
loop_
_atom_site_label
_atom_site_type_symbol
_atom_site_fract_x
_atom_site_fract_y
_atom_site_fract_z
N1 N 0.0000 0.0000 0.0000
Hf1 Hf 0.0000 0.5000 0.0000
Hf2 Hf 0.5000 0.0000 0.0000
Ni1 Ni 0.0000 0.0000 0.5000
Au1 Au 0.5000 0.5000 0.5000
# Total moment, μB per formula unit: 0.00
# DFT total energy, eV/atom: -8.2715
# Crystal system: tetragonal
# Formation energy without anion corrections, kcal/mol of atoms: -18.76


# PBE Pu2TlMo, optimized geometry
data_Pu2TlMo
_space_group_name_H-M_alt 'P 1'
_space_group_IT_number 1
_cell_length_a 3.2256
_cell_length_b 3.2256
_cell_length_c 8.9320
_cell_angle_alpha 90.00
_cell_angle_beta 90.00
_cell_angle_gamma 90.00
loop_
_space_group_symop_operation_xyz
'x,y,z'
loop_
_atom_site_label
_atom_site_type_symbol
_atom_site_fract_x
_atom_site_fract_y
_atom_site_fract_z
Pu1 Pu 0.0000 0.0000 0.7891
Pu2 Pu 0.0000 0.0000 0.2109
Tl1 Tl 0.5000 0.5000 0.5000
Mo1 Mo 0.5000 0.5000 0.0000
# Total moment, μB per formula unit: 9.78
# DFT total energy, eV/atom: -10.2862
# Crystal system: tetragonal
# Formation energy from the elements, eV/atom: 0.1792


# PBE Pa2Al5Ni4, optimized geometry
data_Pa2Al5Ni4
_space_group_name_H-M_alt 'P 1'
_space_group_IT_number 1
_cell_length_a 5.1464
_cell_length_b 5.1741
_cell_length_c 8.2087
_cell_angle_alpha 81.03
_cell_angle_beta 71.73
_cell_angle_gamma 60.18
loop_
_space_group_symop_operation_xyz
'x,y,z'
loop_
_atom_site_label
_atom_site_type_symbol
_atom_site_fract_x
_atom_site_fract_y
_atom_site_fract_z
Ni1 Ni 0.2142 0.3092 0.2623
Ni2 Ni 0.7858 0.6908 0.7377
Ni3 Ni 0.4766 0.3092 0.7377
Ni4 Ni 0.5234 0.6908 0.2623
Al1 Al 0.0000 0.5000 0.0000
Al2 Al 0.2500 0.5000 0.5000
Al3 Al 0.7500 0.5000 0.5000
Al4 Al 0.5000 0.5000 0.0000
Al5 Al 0.5000 0.0000 0.0000
Pa1 Pa 0.1274 0.0000 0.7452
Pa2 Pa 0.8726 0.0000 0.2548
# Total moment, μB per formula unit: 0.00
# DFT total energy, eV/atom: -5.9972
# Crystal system: orthorhombic
# Formation energy from the elements, eV/atom: -0.4672


# PBE LaY2Fe, optimized geometry
data_LaY2Fe
_space_group_name_H-M_alt 'P 1'
_space_group_IT_number 1
_cell_length_a 3.5409
_cell_length_b 3.5409
_cell_length_c 8.8132
_cell_angle_alpha 90.00
_cell_angle_beta 90.00
_cell_angle_gamma 90.00
loop_
_space_group_symop_operation_xyz
'x,y,z'
loop_
_atom_site_label
_atom_site_type_symbol
_atom_site_fract_x
_atom_site_fract_y
_atom_site_fract_z
Fe1 Fe 0.0000 0.0000 0.4916
Y1 Y 0.0000 0.0000 0.0101
Y2 Y 0.5000 0.5000 0.3097
La1 La 0.5000 0.5000 0.6887
# Total moment, μB per formula unit: 2.22
# DFT total energy, eV/atom: -6.4340
# Crystal system: tetragonal
# Relative energy among the computed polymorphs, kJ/mol of formula units: 19
# Formation energy from the elements, eV/atom: 0.1456


# PBE Pa2Tl3AgSe6, optimized geometry
data_Pa2Tl3AgSe6
_space_group_name_H-M_alt 'P 1'
_space_group_IT_number 1
_cell_length_a 4.1659
_cell_length_b 9.1132
_cell_length_c 10.1928
_cell_angle_alpha 112.63
_cell_angle_beta 101.79
_cell_angle_gamma 90.00
loop_
_space_group_symop_operation_xyz
'x,y,z'
loop_
_atom_site_label
_atom_site_type_symbol
_atom_site_fract_x
_atom_site_fract_y
_atom_site_fract_z
Se1 Se 0.6789 0.5440 0.3578
Se2 Se 0.0135 0.2275 0.0271
Se3 Se 0.9865 0.7725 0.9729
Se4 Se 0.3211 0.4560 0.6422
Se5 Se 0.6678 0.1020 0.3357
Se6 Se 0.3322 0.8980 0.6643
Pa1 Pa 0.8393 0.6903 0.6786
Pa2 Pa 0.1607 0.3097 0.3214
Tl1 Tl 0.8423 0.1833 0.6845
Tl2 Tl 0.1577 0.8167 0.3155
Tl3 Tl 0.5000 0.5000 0.0000
Ag1 Ag 0.5000 0.0000 0.0000
# Total moment, μB per formula unit: 2.04
# DFT total energy, eV/atom: -5.0017
# Crystal system: monoclinic
# Formation energy without anion corrections, kcal/mol of atoms: -19.55


# PBE LiHoPb2, optimized geometry
data_LiHoPb2
_space_group_name_H-M_alt 'P 1'
_space_group_IT_number 1
_cell_length_a 4.4150
_cell_length_b 4.8006
_cell_length_c 4.8006
_cell_angle_alpha 90.00
_cell_angle_beta 90.00
_cell_angle_gamma 90.00
loop_
_space_group_symop_operation_xyz
'x,y,z'
loop_
_atom_site_label
_atom_site_type_symbol
_atom_site_fract_x
_atom_site_fract_y
_atom_site_fract_z
Pb1 Pb 0.0000 0.5000 0.0000
Pb2 Pb 0.0000 0.0000 0.5000
Ho1 Ho 0.5000 0.0000 0.0000
Li1 Li 0.5000 0.5000 0.5000
# Total moment, μB per formula unit: 0.00
# DFT total energy, eV/atom: -3.8663
# Crystal system: tetragonal
# Formation energy from the elements, eV/atom: -0.3893


# PBE Al2ZnReSn, optimized geometry
data_Al2ZnReSn
_space_group_name_H-M_alt 'P 1'
_space_group_IT_number 1
_cell_length_a 5.1642
_cell_length_b 4.9076
_cell_length_c 5.1642
_cell_angle_alpha 90.00
_cell_angle_beta 90.00
_cell_angle_gamma 90.00
loop_
_space_group_symop_operation_xyz
'x,y,z'
loop_
_atom_site_label
_atom_site_type_symbol
_atom_site_fract_x
_atom_site_fract_y
_atom_site_fract_z
Sn1 Sn 0.0000 0.0000 0.0000
Al1 Al 0.5000 0.0000 0.0000
Al2 Al 0.0000 0.0000 0.5000
Re1 Re 0.5000 0.5000 0.5000
Zn1 Zn 0.0000 0.5000 0.0000
# Total moment, μB per formula unit: 3.50
# DFT total energy, eV/atom: -3.3082
# Crystal system: tetragonal
# Formation energy from the elements, eV/atom: 1.7338